Material: Tb11Zn9Rh4
Method: DFT, PBE
State: relaxed

Structure (CIF):
```
data_Tb11Zn9Rh4
_cell_length_a 13.8275
_cell_length_b 20.6611
_cell_length_c 3.6860
_cell_angle_alpha 90.00
_cell_angle_beta 90.00
_cell_angle_gamma 90.00
_space_group_name_H-M_alt 'C m m m'
_space_group_IT_number 65
_space_group_name_Hall '-C 2 2'
loop_
_atom_site_label
_atom_site_type_symbol
_atom_site_fract_x
_atom_site_fract_y
_atom_site_fract_z
Tb1 Tb 0.0000 0.0000 0.0000
Tb2 Tb 0.0000 0.1703 0.0000
Tb3 Tb 0.0000 0.3659 0.0000
Tb4 Tb 0.2158 0.5000 0.0000
Tb5 Tb 0.2454 0.1691 0.0000
Zn1 Zn 0.0000 0.5000 0.5000
Zn2 Zn 0.1059 0.2642 0.5000
Zn3 Zn 0.1355 0.0759 0.5000
Rh1 Rh 0.1465 0.4056 0.5000
```

Values from the calculation:
D(E_F) = 30.6 states/eV/cell
DFT formation energy = -0.53 eV per atom

=====

Material: Be2PSe
Method: DFT, PBE
State: relaxed

Structure (CIF):
```
data_Be2PSe
_cell_length_a 3.1003
_cell_length_b 3.2644
_cell_length_c 8.3139
_cell_angle_alpha 90.00
_cell_angle_beta 90.00
_cell_angle_gamma 90.00
_space_group_name_H-M_alt 'P m m m'
_space_group_IT_number 47
loop_
_space_group_symop_operation_xyz
'x,y,z'
'-x,-y,-z'
'-x,-y,z'
'x,y,-z'
'x,-y,-z'
'-x,y,z'
'-x,y,-z'
'x,-y,z'
loop_
_atom_site_label
_atom_site_type_symbol
_atom_site_fract_x
_atom_site_fract_y
_atom_site_fract_z
Be1 Be 0.0000 0.0000 0.0000
Be2 Be 0.0000 0.5000 0.5000
P1 P 0.5000 0.0000 0.5000
Se1 Se 0.5000 0.5000 0.0000
```

Values from the calculation:
D(E_F) = 1.6 states/eV/cell
ΔE to the lowest computed polymorph = 2.73 eV/f.u.
ΔE_f (raw) = 0.344 eV per atom